Density functional theory data (GGA+U) for crystalline AcTl3W2O9 at its relaxed geometry.

Lattice parameters (Å, degrees): 5.989 5.989 7.737 90.00 90.00 120.00
Atoms (fractional coordinates):
W: 0.333 0.667 0.156
Tl: 0.667 0.333 0.296
O: 0.182 0.818 0.290
W: 0.667 0.333 0.844
O: 0.636 0.818 0.290
Ac: 0.000 0.000 0.500
O: 0.818 0.636 0.710
Tl: 0.333 0.667 0.704
O: 0.818 0.182 0.710
Tl: 0.000 0.000 0.000
O: 0.500 0.500 0.000
O: 0.500 0.000 0.000
O: 0.182 0.364 0.290
O: 0.364 0.182 0.710
O: 0.000 0.500 0.000

space group	P-3m1, No. 164
density of states at the Fermi level	0.0000	states/eV per atom
calculated volume	16.02	Å³ per atom
energy	-98.3	eV per cell